An optimized crystal structure of Th3Re5N12. Source: the Alexandria database, functional PBE.

Lattice parameters (Å, degrees): 11.2146 11.2146 11.2146 109.47 109.47 109.47
Closest atoms and distances in Å follow each position.
Fractional coordinates of all 80 atoms:
N 0.6176 0.0138 0.1949  2 Re 1.87-2.06
N 0.8962 0.0773 0.8824  2 Re 1.87-2.06
N 0.9227 0.8189 0.8051  2 Re 1.87-2.06
N 0.5138 0.1949 0.1176  2 Re 1.87-2.06
N 0.9227 0.1038 0.6176  2 Re 1.87-2.06
N 0.6038 0.6176 0.4227  2 Re 1.87-2.06
N 0.5773 0.8824 0.3962  2 Re 1.87-2.06
N 0.1038 0.1811 0.4862  2 Re 1.87-2.06
N 0.3962 0.0138 0.3189  2 Re 1.87-2.06
N 0.6949 0.5773 0.1811  2 Re 1.87-2.06
N 0.3824 0.9862 0.8051  2 Re 1.87-2.06
N 0.8189 0.8962 0.0138  2 Re 1.87-2.06
N 0.6811 0.1949 0.5773  2 Re 1.87-2.06
N 0.1176 0.6949 0.5138  2 Re 1.87-2.06
N 0.6176 0.6038 0.9227  2 Re 1.87-2.06
N 0.1038 0.9227 0.1176  2 Re 1.87-2.06
N 0.8051 0.3189 0.9227  2 Re 1.87-2.06
N 0.0773 0.8962 0.3824  2 Re 1.87-2.06
N 0.3051 0.8824 0.9862  2 Re 1.87-2.06
N 0.1811 0.0773 0.6949  2 Re 1.87-2.06
N 0.5773 0.6949 0.6811  2 Re 1.87-2.06
N 0.0138 0.6176 0.6949  2 Re 1.87-2.06
N 0.3962 0.3824 0.5773  2 Re 1.87-2.06
N 0.8962 0.8189 0.5138  2 Re 1.87-2.06
N 0.4227 0.3051 0.3189  2 Re 1.87-2.06
N 0.1949 0.6811 0.0773  2 Re 1.87-2.06
N 0.8189 0.9227 0.3051  2 Re 1.87-2.06
N 0.3189 0.8051 0.4227  2 Re 1.87-2.06
N 0.3051 0.4227 0.8189  2 Re 1.87-2.06
N 0.0773 0.1811 0.1949  2 Re 1.87-2.06
N 0.6038 0.9862 0.6811  2 Re 1.87-2.06
N 0.4227 0.1176 0.6038  2 Re 1.87-2.06
N 0.5138 0.3189 0.8962  2 Re 1.87-2.06
N 0.6949 0.1176 0.0138  2 Re 1.87-2.06
N 0.4862 0.8051 0.8824  2 Re 1.87-2.06
N 0.9862 0.3824 0.3051  2 Re 1.87-2.06
N 0.1176 0.4227 0.1038  2 Re 1.87-2.06
N 0.1811 0.1038 0.9862  2 Re 1.87-2.06
N 0.8051 0.4862 0.3824  2 Re 1.87-2.06
N 0.3189 0.5138 0.3962  2 Re 1.87-2.06
N 0.4862 0.6811 0.1038  2 Re 1.87-2.06
N 0.0138 0.3962 0.8189  2 Re 1.87-2.06
N 0.3824 0.3962 0.0773  2 Re 1.87-2.06
N 0.8824 0.5773 0.8962  2 Re 1.87-2.06
N 0.9862 0.6038 0.1811  2 Re 1.87-2.06
N 0.6811 0.4862 0.6038  2 Re 1.87-2.06
N 0.8824 0.3051 0.4862  2 Re 1.87-2.06
N 0.1949 0.5138 0.6176  2 Re 1.87-2.06
Th 0.1250 0.8750 0.7500  8 N 2.48-2.70
Th 0.7500 0.3750 0.1250  8 N 2.48-2.70
Th 0.2500 0.1250 0.3750  8 N 2.48-2.70
Th 0.6250 0.3750 0.7500  8 N 2.48-2.70
Th 0.8750 0.7500 0.1250  8 N 2.48-2.70
Th 0.3750 0.6250 0.2500  8 N 2.48-2.70
Th 0.7500 0.8750 0.6250  8 N 2.48-2.70
Th 0.8750 0.1250 0.2500  8 N 2.48-2.70
Th 0.6250 0.2500 0.3750  8 N 2.48-2.70
Th 0.3750 0.7500 0.6250  8 N 2.48-2.70
Th 0.1250 0.2500 0.8750  8 N 2.48-2.70
Th 0.2500 0.6250 0.8750  8 N 2.48-2.70
Re 0.2500 0.3750 0.6250  4 N 1.87
Re 0.1250 0.3750 0.2500  4 N 1.87
Re 0.6250 0.8750 0.2500  4 N 1.87
Re 0.2500 0.8750 0.1250  4 N 1.87
Re 0.1250 0.7500 0.3750  4 N 1.87
Re 0.5000 0.0000 0.5000  6 N 2.06
Re 0.5000 0.0000 0.0000  6 N 2.06
Re 0.3750 0.1250 0.7500  4 N 1.87
Re 0.8750 0.6250 0.7500  4 N 1.87
Re 0.0000 0.5000 0.5000  6 N 2.06
Re 0.0000 0.0000 0.0000  6 N 2.06
Re 0.0000 0.5000 0.0000  6 N 2.06
Re 0.5000 0.5000 0.5000  6 N 2.06
Re 0.3750 0.2500 0.1250  4 N 1.87
Re 0.5000 0.5000 0.0000  6 N 2.06
Re 0.7500 0.6250 0.3750  4 N 1.87
Re 0.7500 0.1250 0.8750  4 N 1.87
Re 0.8750 0.2500 0.6250  4 N 1.87
Re 0.6250 0.7500 0.8750  4 N 1.87
Re 0.0000 0.0000 0.5000  6 N 2.06

Crystal system: cubic
Formation energy (no corrections) in kJ per mole of atoms: -59.3
DOS(E_F) in states/eV per atom: 0.331
Electronic total energy in eV per atom: -9.8347